Run i
Below is a relaxed structure of Ta4W5, with properties calculated at the PBE level.

a b c (Å): 8.274 8.274 5.277
angles (deg): 90.00 90.00 60.00
Element x y z (fractional)
Ta (0.000, 0.641, 0.250)
W (0.000, 0.691, 0.750)
W (0.309, 0.691, 0.250)
Ta (0.000, 0.000, 0.500)
W (0.667, 0.667, 0.500)
Ta (0.000, 0.359, 0.750)
W (0.667, 0.667, 0.000)
W (0.691, 0.000, 0.250)
W (0.691, 0.309, 0.750)
W (0.333, 0.333, 0.500)
Ta (0.641, 0.000, 0.750)
W (0.309, 0.000, 0.750)
Ta (0.359, 0.000, 0.250)
Ta (0.359, 0.641, 0.750)
Ta (0.000, 0.000, 0.000)
Ta (0.641, 0.359, 0.250)
W (0.000, 0.309, 0.250)
W (0.333, 0.333, 0.000)

=====

Run ii
Below is a relaxed structure of Ta4W5, with properties calculated at the PBE level.

a b c (Å): 3.221 7.067 7.067
angles (deg): 92.98 103.17 76.83
Element x y z (fractional)
Ta (0.328, 0.672, 0.328)
W (0.334, 0.333, 0.000)
W (0.666, 0.667, 0.000)
W (0.000, 0.000, 0.000)
Ta (0.000, 0.328, 0.328)
Ta (0.000, 0.672, 0.672)
W (0.334, 0.000, 0.667)
Ta (0.672, 0.328, 0.672)
W (0.666, 0.000, 0.333)

=====

Least stable = run i